(1)
Here is a geometry-optimized HgPb5 structure from Alexandria. Energies are from PBEsol.

Summary:
Energy above the lowest structure with this stoichiometry   0.020 eV per atom
Total magnetization   0.00 μB/f.u.
ΔH_f (0 K)   0.020 eV/atom

abc: 5.7107 8.9675 8.9675
angles: 21.92 90.00 90.00
With the nearest neighbours (Å) after each atom.
Element x y z (fractional)
Hg1 0.0000 0.0000 0.0000  10 Pb 3.33-3.49, 2 Hg 3.41
Pb1 0.0000 0.3378 0.3378  2 Hg 3.33, 10 Pb 3.38-3.51
Pb2 0.0000 0.6643 0.6643  2 Hg 3.36, 10 Pb 3.41-3.50
Pb3 0.5000 0.1047 0.1047  10 Pb 3.36-3.49, 2 Hg 3.40
Pb4 0.5000 0.4401 0.4401  8 Pb 3.36-3.41, 4 Hg 3.49
Pb5 0.5000 0.7736 0.7736  12 Pb 3.39-3.51

---

(2)
Here is a geometry-optimized BeHgRh2 structure from Alexandria. Energies are from PBEsol.

Summary:
Energy above the lowest structure with this stoichiometry   0.173 eV per atom
Total magnetization   0.00 μB/f.u.
ΔH_f (0 K)   -0.003 eV/atom

abc: 2.7615 2.7615 7.9301
angles: 90.00 90.00 113.91
With the nearest neighbours (Å) after each atom.
Element x y z (fractional)
Be1 0.0000 0.0000 0.0000  4 Rh 2.20
Hg1 0.0000 0.0000 0.5000  6 Hg 2.76-3.01, 4 Rh 2.80
Rh1 0.5000 0.5000 0.2020  2 Be 2.20
Rh2 0.5000 0.5000 0.7980  2 Be 2.20

---

(3)
Here is a geometry-optimized CrP2HS structure from Alexandria. Energies are from PBEsol.

Summary:
Total magnetization   3.08 μB/f.u.

abc: 3.5207 3.5207 4.9906
angles: 90.00 90.00 90.00
With the nearest neighbours (Å) after each atom.
Element x y z (fractional)
Cr1 0.0000 0.0000 0.0000  4 S 2.49
P1 0.0000 0.5000 0.5000  2 H 1.76
P2 0.5000 0.0000 0.5000  2 H 1.76
H1 0.5000 0.5000 0.5000  4 P 1.76
S1 0.5000 0.5000 0.0000  4 Cr 2.49, 2 H 2.50

---

Number 1: final energy -3.406 eV/atom. Number 2: final energy -5.214 eV/atom. Number 3: final energy -5.416 eV/atom.